DFT (meta-GGA SCAN) results for a PBEsol-optimized structure of ScIrCl2.

Results
**E_form (uncorrected)**: -74.35 kJ/mol of atoms
**Energy relative to the lowest polymorph listed for this composition**: 0.0 meV/atom
**Calculated volume**: 75 Å³ per cell

Lattice parameters (Å, degrees): 3.0326 3.0326 8.1579 90.00 90.00 90.00
Closest atoms and distances in Å follow each position.
Space group P4mm (No. 99)
One atom of each set of equivalent atoms:
Sc  0.0000  0.0000  0.0000 [1 per cell]  4 Cl 2.69, 4 Ir 2.77
Ir  0.5000  0.5000  0.7857 [1 per cell]  4 Cl 2.74, 4 Sc 2.77, 4 Ir 3.03
Cl  0.0000  0.0000  0.5757 [1 per cell]  4 Ir 2.74, 4 Cl 3.03
Cl  0.5000  0.5000  0.1999 [1 per cell]  4 Sc 2.69



DFT (meta-GGA SCAN) results for a PBEsol-optimized structure of CaCoTe.

Results
**E_form (uncorrected)**: -50.53 kJ/mol of atoms
**Energy relative to the lowest polymorph listed for this composition**: 0.0 meV/atom
**Calculated volume**: 65 Å³ per cell

Lattice parameters (Å, degrees): 4.1911 4.1911 4.2454 90.00 90.00 120.00
Closest atoms and distances in Å follow each position.
Space group P-6m2 (No. 187)
One atom of each set of equivalent atoms:
Ca  0.0000  0.0000  0.0000 [1 per cell]  6 Te 3.22, 6 Co 3.22
Co  0.6667  0.3333  0.5000 [1 per cell]  3 Te 2.42
Te  0.3333  0.6667  0.5000 [1 per cell]  3 Co 2.42



DFT (meta-GGA SCAN) results for a PBEsol-optimized structure of ZrI2Cl.

Results
**E_form (uncorrected)**: -46.80 kJ/mol of atoms
**Calculated volume**: 389 Å³ per cell

Lattice parameters (Å, degrees): 7.3000 7.3000 7.3000 90.00 90.00 90.00
Closest atoms and distances in Å follow each position.
Space group Fm-3m (No. 225)
One atom of each set of equivalent atoms:
Zr  0.0000  0.0000  0.0000 [4 per cell]  8 I 3.16
I  0.2500  0.2500  0.2500 [8 per cell]  4 Zr 3.16, 4 Cl 3.16
Cl  0.0000  0.0000  0.5000 [4 per cell]  8 I 3.16



DFT (meta-GGA SCAN) results for a PBEsol-optimized structure of AsPdO2.

Results
**E_form (uncorrected)**: -46.51 kJ/mol of atoms
**Calculated volume**: 158 Å³ per cell

Lattice parameters (Å, degrees): 3.1187 3.1187 18.8114 90.00 90.00 120.00
Closest atoms and distances in Å follow each position.
Space group R-3m (No. 166, hexagonal axes)
One atom of each set of equivalent atoms:
As  0.0000  0.0000  0.0000 [3 per cell]  6 O 2.13
Pd  0.0000  0.0000  0.5000 [3 per cell]  2 O 1.99
O  0.0000  0.0000  0.3940 [6 per cell]  1 Pd 1.99, 3 As 2.13



DFT (meta-GGA SCAN) results for a PBEsol-optimized structure of Be2PAu.

Results
**Energy of formation from the pure elements**: 0.1029 eV/atom
**Calculated volume**: 48 Å³ per cell

Lattice parameters (Å, degrees): 3.0747 3.0747 5.0617 90.00 90.00 90.00
Closest atoms and distances in Å follow each position.
Space group P4/mmm (No. 123)
One atom of each set of equivalent atoms:
Be  0.0000  0.0000  0.2119 [2 per cell]  1 Be 2.15
P  0.5000  0.5000  0.0000 [1 per cell]  8 Be 2.42, 2 Au 2.53
Au  0.5000  0.5000  0.5000 [1 per cell]  2 P 2.53, 8 Be 2.62



DFT (meta-GGA SCAN) results for a PBEsol-optimized structure of NdSe2.

Results
**E_form (uncorrected)**: -179.15 kJ/mol of atoms
**Calculated volume**: 288 Å³ per cell

Lattice parameters (Å, degrees): 8.4343 4.1196 8.2839 90.00 90.05 90.00
Closest atoms and distances in Å follow each position.
Space group P2_1/c (No. 14)
One atom of each set of equivalent atoms:
Nd  0.2259  0.2277  0.3739 [4 per cell]  9 Se 2.96-3.19
Se  0.1321  0.7455  0.1250 [4 per cell]  5 Nd 2.96-3.11
Se  0.4989  0.6935  0.3799 [4 per cell]  1 Se 2.55



DFT (meta-GGA SCAN) results for a PBEsol-optimized structure of ScAlS2.

Results
**E_form (uncorrected)**: -103.47 kJ/mol of atoms
**Calculated volume**: 334 Å³ per cell

Lattice parameters (Å, degrees): 5.6081 5.6081 10.6294 90.00 90.00 90.00
Closest atoms and distances in Å follow each position.
Space group I-42d (No. 122)
One atom of each set of equivalent atoms:
Sc  0.0000  0.0000  0.0000 [4 per cell]  4 S 2.50
Al  0.0000  0.0000  0.5000 [4 per cell]  4 S 2.28
S  0.2158  0.2500  0.6250 [8 per cell]  2 Al 2.28, 2 Sc 2.50



DFT (meta-GGA SCAN) results for a PBEsol-optimized structure of Cr2NiBOs.

Results
**Energy of formation from the pure elements**: 1.9446 eV/atom
**Calculated volume**: 91 Å³ per cell

Lattice parameters (Å, degrees): 4.5065 4.5065 4.4850 90.00 90.00 90.00
Closest atoms and distances in Å follow each position.
Space group P4/mmm (No. 123)
One atom of each set of equivalent atoms:
Cr  0.0000  0.5000  0.0000 [2 per cell]  2 Os 2.25
Ni  0.0000  0.0000  0.5000 [1 per cell]  2 Os 2.24
B  0.5000  0.5000  0.5000 [1 per cell]  8 Cr 3.18, 4 Ni 3.19
Os  0.0000  0.0000  0.0000 [1 per cell]  2 Ni 2.24, 4 Cr 2.25



M_tot list, top to bottom, in μB per formula unit: 0.000 0.728 1.000 0.000 0.000 0.000 0.003 5.403